Record 1
Here is a crystal of LaAl2Cu3 relaxed with PBEsol from Alexandria. Energies are from meta-GGA SCAN.

Summary:
**Space group**: No. 65
**Final energy**: -17.814 eV/atom

abc: 4.144 5.191 5.191
angles: 117.98 90.00 90.00
Atoms (fractional coordinates):
Cu1 0.000 0.660 0.340
Cu2 0.000 0.340 0.660
Cu3 0.500 0.500 0.500
Al1 0.500 0.500 0.000
Al2 0.500 0.000 0.500
La1 0.000 0.000 0.000

Record 2
Here is a crystal of VAgO3 relaxed with PBEsol from Alexandria. Energies are from meta-GGA SCAN.

Summary:
**Space group**: No. 8
**E_form (uncorrected)**: -1.857 eV per atom

abc: 3.557 7.916 9.075
angles: 104.20 101.30 90.00
Atoms (fractional coordinates):
Ag1 0.549 0.869 0.098
Ag2 0.454 0.135 0.907
Ag3 0.000 0.499 0.001
Ag4 0.252 0.957 0.504
O1 0.193 0.505 0.385
O2 0.351 0.714 0.702
O3 0.742 0.771 0.484
O4 0.651 0.293 0.303
O5 0.884 0.992 0.767
O6 0.259 0.237 0.518
O7 0.968 0.759 0.936
O8 0.409 0.400 0.817
O9 0.036 0.243 0.072
O10 0.811 0.505 0.621
O11 0.593 0.602 0.185
O12 0.120 0.011 0.240
V1 0.320 0.436 0.641
V2 0.874 0.774 0.747
V3 0.681 0.567 0.362
V4 0.130 0.230 0.261

Record 3
Here is a crystal of Rb2PbF relaxed with PBEsol from Alexandria. Energies are from meta-GGA SCAN.

Summary:
**Space group**: No. 225
**E_form (uncorrected)**: -0.824 eV per atom

abc: 5.971 5.971 5.971
angles: 60.00 60.00 60.00
Each line ends with the local moment (μB).
Atoms (fractional coordinates):
Pb1 0.500 0.500 0.500  0.85
F1 0.000 0.000 0.000  0.07
Rb1 0.750 0.750 0.750  0.08
Rb2 0.250 0.250 0.250  0.08